No. 1
Pr8HoTl2 | PBE | relaxed

Geometry as POSCAR:
```
Pr8HoTl2
1.0
8.8328 -3.4472 0.0000
8.8328 3.4472 0.0000
-1.4455 0.0000 6.1104
Pr Ho Tl
8 1 2
Cartesian
-0.2246 0.0000 1.5074
5.2097 1.7964 2.2947
5.2949 0.0000 5.6086
11.0104 1.7964 3.8157
5.2097 -1.7964 2.2947
10.9251 0.0000 0.5018
11.0104 -1.7964 3.8157
16.4446 0.0000 4.6030
8.1100 0.0000 3.0552
2.9709 0.0000 0.6402
13.2491 0.0000 5.4702
```

## Properties
Space-group type   No. 12
Crystal system   monoclinic
Total magnetization   0.00 Bohr magnetons per cell



No. 2
Pr2Ho3Tl | PBE | relaxed

Geometry as POSCAR:
```
Pr2Ho3Tl
1.0
-1.7378 8.8458 3.2371
1.7378 -8.8458 3.2371
1.7378 8.8458 -3.2371
Pr Ho Tl
2 3 1
Cartesian
0.0000 3.3693 0.0000
0.0000 14.3223 0.0000
1.7378 0.0000 1.2816
1.7378 6.4800 -0.0420
0.0000 2.3658 3.1951
0.0000 0.0000 5.0605
```

## Properties
Space-group type   No. 44
Crystal system   orthorhombic
Total magnetization   0.00 Bohr magnetons per cell



No. 3
PrHoTl | PBE | relaxed

Geometry as POSCAR:
```
PrHoTl
1.0
5.3209 0.0000 0.0000
-2.6604 4.6080 0.0000
0.0000 0.0000 3.8094
Pr Ho Tl
1 1 1
Cartesian
0.0000 0.0000 0.0000
0.0000 3.0720 1.8063
2.6604 1.5360 2.1697
```

## Properties
Space-group type   No. 156
Crystal system   trigonal
Total magnetization   0.00 Bohr magnetons per cell



Listing energy for the structures above in their given order: -4.372, -4.168, -4.077 eV/atom.